# 1
# SiAsW3 PBE optimized geometry
# Energy relative to the lowest polymorph listed for this composition   0.000 eV/atom
# Formation energy (no corrections)   1.51 eV/atom
data_SiAsW3
_symmetry_space_group_name_H-M 'P m -3 m'
_symmetry_Int_Tables_number 221
_symmetry_space_group_name_Hall '-P 4 2 3'
_cell_length_a 4.5300
_cell_length_b 4.5300
_cell_length_c 4.5300
_cell_angle_alpha 90.00
_cell_angle_beta 90.00
_cell_angle_gamma 90.00
loop_
_atom_site_label
_atom_site_type_symbol
_atom_site_fract_x
_atom_site_fract_y
_atom_site_fract_z
Si1 Si 0.0000 0.0000 0.0000
As1 As 0.5000 0.5000 0.5000
W1 W 0.0000 0.0000 0.5000

# 2
# KSrHg2 PBE optimized geometry
# E_form   -25.3 kJ/mol of atoms
data_KSrHg2
_symmetry_space_group_name_H-M 'P m m 2'
_symmetry_Int_Tables_number 25
_cell_length_a 4.5483
_cell_length_b 4.6976
_cell_length_c 7.0835
_cell_angle_alpha 90.00
_cell_angle_beta 90.00
_cell_angle_gamma 90.00
loop_
_symmetry_equiv_pos_as_xyz
'x,y,z'
'-x,-y,z'
'-x,y,z'
'x,-y,z'
loop_
_atom_site_label
_atom_site_type_symbol
_atom_site_fract_x
_atom_site_fract_y
_atom_site_fract_z
K1 K 0.0000 0.0000 0.0000
Sr1 Sr 0.5000 0.5000 0.3945
Hg1 Hg 0.0000 0.0000 0.5179
Hg2 Hg 0.5000 0.5000 0.8574

# 3
# VPdRh3 PBE optimized geometry
# Energy relative to the lowest polymorph listed for this composition   0.824 eV/atom
# E_form   64.1 kJ/mol of atoms
data_VPdRh3
_symmetry_space_group_name_H-M 'I -4 m 2'
_symmetry_Int_Tables_number 119
_symmetry_space_group_name_Hall 'I -4 -2'
_cell_length_a 4.8084
_cell_length_b 4.8084
_cell_length_c 15.9927
_cell_angle_alpha 90.00
_cell_angle_beta 90.00
_cell_angle_gamma 90.00
loop_
_atom_site_label
_atom_site_type_symbol
_atom_site_fract_x
_atom_site_fract_y
_atom_site_fract_z
V1 V 0.0000 0.0000 0.0000
V2 V 0.0000 0.5000 0.2500
Pd1 Pd 0.0000 0.0000 0.3190
Rh1 Rh 0.0000 0.2514 0.1247
Rh2 Rh 0.0000 0.5000 0.5563

# 4
# SnRhO2 PBE optimized geometry
# Formation energy (no corrections)   -0.70 eV/atom
data_SnRhO2
_symmetry_space_group_name_H-M 'R -3 m'
_symmetry_Int_Tables_number 166
_symmetry_space_group_name_Hall '-R 3 2"'
_cell_length_a 3.1688
_cell_length_b 3.1688
_cell_length_c 19.5636
_cell_angle_alpha 90.00
_cell_angle_beta 90.00
_cell_angle_gamma 120.00
loop_
_atom_site_label
_atom_site_type_symbol
_atom_site_fract_x
_atom_site_fract_y
_atom_site_fract_z
Sn1 Sn 0.0000 0.0000 0.0000
Rh1 Rh 0.0000 0.0000 0.5000
O1 O 0.0000 0.0000 0.1167

# 5
# K3Sm PBE optimized geometry
# E_form   53.3 kJ/mol of atoms
data_K3Sm
_symmetry_space_group_name_H-M 'I 4/m m m'
_symmetry_Int_Tables_number 139
_symmetry_space_group_name_Hall '-I 4 2'
_cell_length_a 5.8530
_cell_length_b 5.8530
_cell_length_c 13.1290
_cell_angle_alpha 90.00
_cell_angle_beta 90.00
_cell_angle_gamma 90.00
loop_
_atom_site_label
_atom_site_type_symbol
_atom_site_fract_x
_atom_site_fract_y
_atom_site_fract_z
K1 K 0.0000 0.0000 0.0000
K2 K 0.0000 0.5000 0.2500
Sm1 Sm 0.0000 0.0000 0.5000

# 6
# CaCuSe2 PBE optimized geometry
# Formation energy (no corrections)   -0.93 eV/atom
data_CaCuSe2
_symmetry_space_group_name_H-M 'I -4 2 d'
_symmetry_Int_Tables_number 122
_symmetry_space_group_name_Hall 'I -4 2bw'
_cell_length_a 7.0745
_cell_length_b 7.0745
_cell_length_c 7.2592
_cell_angle_alpha 90.00
_cell_angle_beta 90.00
_cell_angle_gamma 90.00
loop_
_atom_site_label
_atom_site_type_symbol
_atom_site_fract_x
_atom_site_fract_y
_atom_site_fract_z
Ca1 Ca 0.0000 0.0000 0.0000
Cu1 Cu 0.0000 0.0000 0.5000
Se1 Se 0.1862 0.2500 0.6250

# 7
# LaTa2Ag PBE optimized geometry
# Energy relative to the lowest polymorph listed for this composition   0.345 eV/atom
# E_form   58.2 kJ/mol of atoms
data_LaTa2Ag
_symmetry_space_group_name_H-M 'P 4/m m m'
_symmetry_Int_Tables_number 123
_symmetry_space_group_name_Hall '-P 4 2'
_cell_length_a 4.2387
_cell_length_b 4.2387
_cell_length_c 4.8658
_cell_angle_alpha 90.00
_cell_angle_beta 90.00
_cell_angle_gamma 90.00
loop_
_atom_site_label
_atom_site_type_symbol
_atom_site_fract_x
_atom_site_fract_y
_atom_site_fract_z
La1 La 0.0000 0.0000 0.0000
Ta1 Ta 0.0000 0.5000 0.5000
Ag1 Ag 0.5000 0.5000 0.0000

# 8
# Tm2Hf3PaN6 PBE optimized geometry
# Formation energy (no corrections)   -1.78 eV/atom
data_Tm2Hf3PaN6
_symmetry_space_group_name_H-M 'C 1 2/m 1'
_symmetry_Int_Tables_number 12
_cell_length_a 14.4560
_cell_length_b 3.2951
_cell_length_c 6.6759
_cell_angle_alpha 90.00
_cell_angle_beta 103.74
_cell_angle_gamma 90.00
loop_
_symmetry_equiv_pos_as_xyz
'x,y,z'
'-x,-y,-z'
'-x,y,-z'
'x,-y,z'
'x+1/2,y+1/2,z'
'-x+1/2,-y+1/2,-z'
'-x+1/2,y+1/2,-z'
'x+1/2,-y+1/2,z'
loop_
_atom_site_label
_atom_site_type_symbol
_atom_site_fract_x
_atom_site_fract_y
_atom_site_fract_z
Tm1 Tm 0.1685 0.0000 0.3366
Hf1 Hf 0.0000 0.5000 0.5000
Hf2 Hf 0.1690 0.0000 0.8337
Pa1 Pa 0.0000 0.5000 0.0000
N1 N 0.0038 0.0000 0.7348
N2 N 0.1636 0.5000 0.5939
N3 N 0.1712 0.5000 0.0752

| no. | total magnetization (μB per formula unit) |
| --- | --- |
| 1 | 0.0 |
| 2 | 0.0 |
| 3 | 0.0 |
| 4 | 0.0 |
| 5 | 0.7 |
| 6 | 0.0 |
| 7 | 0.0 |
| 8 | 0.0 |